# Sr3Se2O (PBE, optimized geometry)
data_Sr3Se2O
_chemical_formula_sum 'Sr24 Se16 O8'
_cell_length_a 6.831
_cell_length_b 13.520
_cell_length_c 14.852
_cell_angle_alpha 90.00
_cell_angle_beta 94.33
_cell_angle_gamma 90.00
_space_group_name_H-M_alt 'C 1 2/c 1'
_space_group_IT_number 15
_space_group_name_Hall '-C 2yc'
loop_
_atom_site_label
_atom_site_type_symbol
_atom_site_fract_x
_atom_site_fract_y
_atom_site_fract_z
Sr1 Sr 0.000 0.014 0.250
Sr2 Sr 0.000 0.401 0.250
Sr3 Sr 0.179 0.327 0.869
Sr4 Sr 0.227 0.096 0.533
Se1 Se 0.222 0.208 0.345
Se2 Se 0.237 0.103 0.926
O1 O 0.224 0.496 0.838
# formation energy without anion corrections	-2.207	eV per atom
# relative energy among the computed polymorphs	0.000	eV/atom
# energy	-5.035	eV/atom

***

# Sc3Se (PBE, optimized geometry)
data_Sc3Se
_chemical_formula_sum 'Sc12 Se4'
_cell_length_a 6.1455
_cell_length_b 6.1455
_cell_length_c 10.1441
_cell_angle_alpha 90.00
_cell_angle_beta 90.00
_cell_angle_gamma 120.00
_space_group_name_H-M_alt 'P 63/m m c'
_space_group_IT_number 194
_space_group_name_Hall '-P 6c 2c'
loop_
_atom_site_label
_atom_site_type_symbol
_atom_site_fract_x
_atom_site_fract_y
_atom_site_fract_z
Sc1 Sc 0.0000 0.5000 0.0000
Sc2 Sc 0.1648 0.3296 0.2500
Se1 Se 0.0000 0.0000 0.0000
Se2 Se 0.3333 0.6667 0.7500
# formation energy without anion corrections	-0.365	eV per atom
# relative energy among the computed polymorphs	0.438	eV/atom
# energy	-5.985	eV/atom

***

# Ti2ZnCd (PBE, optimized geometry)
data_Ti2ZnCd
_chemical_formula_sum 'Ti2 Zn1 Cd1'
_cell_length_a 4.104
_cell_length_b 4.104
_cell_length_c 4.106
_cell_angle_alpha 90.00
_cell_angle_beta 90.00
_cell_angle_gamma 90.00
_space_group_name_H-M_alt 'P 4/m m m'
_space_group_IT_number 123
_space_group_name_Hall '-P 4 2'
loop_
_atom_site_label
_atom_site_type_symbol
_atom_site_fract_x
_atom_site_fract_y
_atom_site_fract_z
Ti1 Ti 0.000 0.500 0.000
Zn1 Zn 0.000 0.000 0.500
Cd1 Cd 0.500 0.500 0.500
# relative energy among the computed polymorphs	0.033	eV/atom
# energy	-4.543	eV/atom
# DFT formation energy	-0.05	eV per atom

***

# RbAg4S3 (PBE, optimized geometry)
data_RbAg4S3
_chemical_formula_sum 'Rb1 Ag4 S3'
_cell_length_a 4.319
_cell_length_b 4.319
_cell_length_c 9.912
_cell_angle_alpha 90.00
_cell_angle_beta 90.00
_cell_angle_gamma 90.00
_space_group_name_H-M_alt 'P 4/m m m'
_space_group_IT_number 123
_space_group_name_Hall '-P 4 2'
loop_
_atom_site_label
_atom_site_type_symbol
_atom_site_fract_x
_atom_site_fract_y
_atom_site_fract_z
Rb1 Rb 0.000 0.000 0.000
Ag1 Ag 0.000 0.500 0.331
S1 S 0.000 0.000 0.500
S2 S 0.500 0.500 0.191
# formation energy without anion corrections	-0.243	eV per atom
# energy	-3.337	eV/atom

***

# Re2RuAu (PBE, optimized geometry)
data_Re2RuAu
_chemical_formula_sum 'Re4 Ru2 Au2'
_cell_length_a 9.265
_cell_length_b 2.771
_cell_length_c 4.861
_cell_angle_alpha 90.00
_cell_angle_beta 100.05
_cell_angle_gamma 90.00
_space_group_name_H-M_alt 'C 1 m 1'
_space_group_IT_number 8
_space_group_name_Hall 'C -2y'
loop_
_atom_site_label
_atom_site_type_symbol
_atom_site_fract_x
_atom_site_fract_y
_atom_site_fract_z
Re1 Re 0.000 0.000 0.000
Re2 Re 0.244 0.500 0.229
Ru1 Ru 0.265 0.000 0.776
Au1 Au 0.003 0.500 0.503
# relative energy among the computed polymorphs	0.078	eV/atom
# energy	-9.071	eV/atom
# DFT formation energy	0.29	eV per atom

***

# LiRhSe (PBE, optimized geometry)
data_LiRhSe
_chemical_formula_sum 'Li1 Rh1 Se1'
_cell_length_a 3.4540
_cell_length_b 3.4540
_cell_length_c 5.4742
_cell_angle_alpha 90.00
_cell_angle_beta 90.00
_cell_angle_gamma 120.00
_space_group_name_H-M_alt 'P 3 m 1'
_space_group_IT_number 156
_space_group_name_Hall 'P 3 -2"'
loop_
_atom_site_label
_atom_site_type_symbol
_atom_site_fract_x
_atom_site_fract_y
_atom_site_fract_z
Li1 Li 0.0000 0.0000 0.0000
Rh1 Rh 0.6667 0.3333 0.3906
Se1 Se 0.3333 0.6667 0.6275
# formation energy without anion corrections	-0.280	eV per atom
# relative energy among the computed polymorphs	0.167	eV/atom
# energy	-4.530	eV/atom

***

Q: What is the energy in the fourth record?
A: -3.337 eV/atom

***

Please write out number 6 again, unchanged.
# LiRhSe (PBE, optimized geometry)
data_LiRhSe
_chemical_formula_sum 'Li1 Rh1 Se1'
_cell_length_a 3.4540
_cell_length_b 3.4540
_cell_length_c 5.4742
_cell_angle_alpha 90.00
_cell_angle_beta 90.00
_cell_angle_gamma 120.00
_space_group_name_H-M_alt 'P 3 m 1'
_space_group_IT_number 156
_space_group_name_Hall 'P 3 -2"'
loop_
_atom_site_label
_atom_site_type_symbol
_atom_site_fract_x
_atom_site_fract_y
_atom_site_fract_z
Li1 Li 0.0000 0.0000 0.0000
Rh1 Rh 0.6667 0.3333 0.3906
Se1 Se 0.3333 0.6667 0.6275
# formation energy without anion corrections	-0.280	eV per atom
# relative energy among the computed polymorphs	0.167	eV/atom
# energy	-4.530	eV/atom

***

Q: Among the records above, which one has the highest energy?
A: RbAg4S3